1.
# TaCdPtN2

Crystalline TaCdPtN2 at its relaxed geometry (GGA-PBE, the Alexandria database).

extended XYZ file:
```
5
Lattice="3.9907 0.0000 0.0000 0.0000 3.9907 0.0000 0.0000 0.0000 5.6736" Properties=species:S:1:pos:R:3 pbc="T T T"
Ta 0.0000 0.0000 0.0000
Cd 0.0000 0.0000 2.8368
Pt 1.9954 1.9954 0.0000
N 0.0000 1.9954 2.8368
N 1.9954 0.0000 2.8368
```

Summary:
The calculation puts the formation energy from raw total energies at 2277.4 meV/atom. As for the total energy: -4.8145 eV/atom. As for the density of states at the Fermi level: 2.91 states/eV per cell. The value obtained for the total magnetic moment is 0.31 μB per atom. Its crystal system is tetragonal.

***

2.
# Cs3KAg2Br6

Crystalline Cs3KAg2Br6 at its relaxed geometry (GGA-PBE, the Alexandria database).

extended XYZ file:
```
12
Lattice="8.6699 0.0000 0.0000 -4.3350 7.5084 0.0000 0.0000 0.0000 9.5500" Properties=species:S:1:pos:R:3 pbc="T T T"
Cs 0.0000 0.0000 0.0000
Cs 0.0000 5.0056 6.1330
Cs 4.3350 2.5028 3.4170
K 0.0000 0.0000 4.7750
Ag 0.0000 5.0056 2.3909
Ag 4.3350 2.5028 7.1591
Br 0.0000 2.4346 2.6933
Br -2.2266 6.2911 2.6933
Br 2.1084 1.2173 6.8567
Br 2.2266 6.2911 2.6933
Br 6.5615 1.2173 6.8567
Br 4.3350 5.0738 6.8567
```

Summary:
The calculation puts the formation energy from raw total energies at -1226.7 meV/atom. As for the total energy: -2.8431 eV/atom. As for the density of states at the Fermi level: 0.00 states/eV per cell. The value obtained for the total magnetic moment is 0.00 μB per atom. Its crystal system is trigonal.

***

3.
# Ba3Pm2ErSe6

Crystalline Ba3Pm2ErSe6 at its relaxed geometry (GGA-PBE, the Alexandria database).

extended XYZ file:
```
12
Lattice="3.7610 -6.5067 0.0000 3.7610 6.5067 0.0000 -2.5090 0.0000 7.3931" Properties=species:S:1:pos:R:3 pbc="T T T"
Ba 0.0000 0.0000 0.0000
Ba 3.7610 2.2060 0.0000
Ba 3.7610 -2.2060 0.0000
Pm 2.5065 4.3501 3.6965
Pm 2.5065 -4.3501 3.6965
Er 2.5065 0.0000 3.6965
Se 1.2885 2.1109 2.1058
Se 0.0695 0.0000 5.3088
Se 1.2885 -2.1109 2.1058
Se 3.7246 2.1109 5.2873
Se 4.9436 0.0000 2.0842
Se 3.7246 -2.1109 5.2873
```

Summary:
The calculation puts the formation energy from raw total energies at -1893.3 meV/atom. As for the total energy: -5.2882 eV/atom. As for the density of states at the Fermi level: 4.73 states/eV per cell. The value obtained for the total magnetic moment is 0.00 μB per atom. Its crystal system is monoclinic.

***

4.
# Dy3Sn2Hg

Crystalline Dy3Sn2Hg at its relaxed geometry (GGA-PBE, the Alexandria database).

extended XYZ file:
```
24
Lattice="12.3172 0.0000 0.0000 0.0000 4.6342 0.0000 0.0000 0.0000 11.5836" Properties=species:S:1:pos:R:3 pbc="T T T"
Dy 0.4636 1.1586 1.4234
Dy 1.6759 3.4757 6.6400
Dy 2.4967 1.1586 9.4402
Dy 3.6619 3.4757 3.6485
Dy 4.4827 1.1586 0.8483
Dy 5.6950 3.4757 7.2152
Dy 6.6221 1.1586 4.3684
Dy 7.8344 3.4757 10.7353
Dy 8.6553 1.1586 7.9351
Dy 9.8205 3.4757 2.1433
Dy 10.6413 1.1586 4.9435
Dy 11.8536 3.4757 10.1601
Sn 0.0961 3.4757 3.7514
Sn 2.2485 3.4757 0.3463
Sn 3.9100 1.1586 6.1381
Sn 6.0625 1.1586 9.5432
Sn 6.2546 3.4757 2.0404
Sn 8.4071 3.4757 5.4455
Sn 10.0686 1.1586 11.2372
Sn 12.2211 1.1586 7.8322
Hg 1.8603 1.1586 4.0586
Hg 4.2983 3.4757 9.8504
Hg 8.0189 1.1586 1.7332
Hg 10.4569 3.4757 7.5250
```

Summary:
The calculation puts the energy above the most stable polymorph in this dataset at 0.00 eV/f.u. As for the total energy: -4.2692 eV/atom. As for the density of states at the Fermi level: 16.80 states/eV per cell. The value obtained for the total magnetic moment is 0.00 μB per atom. Its crystal system is orthorhombic. The value obtained for the calculated formation energy is -0.584 eV per atom.

***

5.
# CrAgSbTe2

Crystalline CrAgSbTe2 at its relaxed geometry (GGA-PBE, the Alexandria database).

extended XYZ file:
```
5
Lattice="5.2909 0.0000 0.0000 0.0000 5.2909 0.0000 0.0000 0.0000 5.0277" Properties=species:S:1:pos:R:3 pbc="T T T"
Cr 0.0000 0.0000 0.0000
Ag 2.6454 2.6454 2.5138
Sb 0.0000 0.0000 2.5138
Te 0.0000 2.6454 0.0000
Te 2.6454 0.0000 0.0000
```

Summary:
The calculation puts the energy above the most stable polymorph in this dataset at 0.00 eV/f.u. The calculation puts the formation energy from raw total energies at 476.1 meV/atom. As for the total energy: -4.1000 eV/atom. As for the density of states at the Fermi level: 4.70 states/eV per cell. The value obtained for the total magnetic moment is 0.49 μB per atom. Its crystal system is tetragonal.

***

6.
# GaCIBr2

Crystalline GaCIBr2 at its relaxed geometry (GGA-PBE, the Alexandria database).

extended XYZ file:
```
5
Lattice="5.7741 0.0000 0.0000 0.0000 5.7741 0.0000 0.0000 0.0000 3.7928" Properties=species:S:1:pos:R:3 pbc="T T T"
Ga 0.0000 0.0000 0.0000
C 0.0000 0.0000 1.8964
I 2.8871 2.8871 1.8964
Br 0.0000 2.8871 0.0000
Br 2.8871 0.0000 0.0000
```

Summary:
The calculation puts the formation energy from raw total energies at 877.8 meV/atom. As for the total energy: -2.5515 eV/atom. As for the density of states at the Fermi level: 5.00 states/eV per cell. The value obtained for the total magnetic moment is 0.32 μB per atom. Its crystal system is tetragonal.

***

7.
# PmSmGa4

Crystalline PmSmGa4 at its relaxed geometry (GGA-PBE, the Alexandria database).

extended XYZ file:
```
6
Lattice="4.2591 0.0000 0.0000 -2.1296 3.6885 0.0000 0.0000 0.0000 8.4769" Properties=species:S:1:pos:R:3 pbc="T T T"
Pm 0.0000 0.0000 0.0000
Sm 0.0000 0.0000 4.2385
Ga 0.0000 2.4590 2.1294
Ga 0.0000 2.4590 6.3475
Ga 2.1296 1.2295 2.1294
Ga 2.1296 1.2295 6.3475
```

Summary:
The calculation puts the energy above the most stable polymorph in this dataset at 0.00 eV/f.u. As for the total energy: -4.2844 eV/atom. As for the density of states at the Fermi level: 3.25 states/eV per cell. The value obtained for the total magnetic moment is 0.00 μB per atom. Its crystal system is hexagonal. The value obtained for the calculated formation energy is -0.688 eV per atom.

***

8.
# MnAu2C

Crystalline MnAu2C at its relaxed geometry (GGA-PBE, the Alexandria database).

extended XYZ file:
```
8
Lattice="-2.5754 2.5754 5.8884 2.5754 -2.5754 5.8884 2.5754 2.5754 -5.8884" Properties=species:S:1:pos:R:3 pbc="T T T"
Mn 0.0000 0.0000 0.0000
Mn 0.0000 2.5754 2.9442
Au 1.2877 -0.7136 4.4163
Au 1.8618 1.2877 1.4721
Au 1.2877 3.2890 -1.4721
Au 0.7136 1.2877 7.3605
C 2.5754 0.0000 2.9442
C 0.0000 0.0000 5.8884
```

Summary:
As for the total energy: -5.1828 eV/atom. As for the density of states at the Fermi level: 1.90 states/eV per cell. The value obtained for the total magnetic moment is 1.23 μB per atom. Its crystal system is tetragonal. The value obtained for the calculated formation energy is 1.054 eV per atom.

***

9.
# TiP2WCl

Crystalline TiP2WCl at its relaxed geometry (GGA-PBE, the Alexandria database).

extended XYZ file:
```
5
Lattice="4.7990 0.0000 0.0000 0.0000 4.7990 0.0000 0.0000 0.0000 4.4482" Properties=species:S:1:pos:R:3 pbc="T T T"
Ti 0.0000 0.0000 0.0000
P 0.0000 2.3995 0.0000
P 2.3995 0.0000 0.0000
W 2.3995 2.3995 2.2241
Cl 0.0000 0.0000 2.2241
```

Summary:
The calculation puts the energy above the most stable polymorph in this dataset at 0.97 eV/f.u. The calculation puts the formation energy from raw total energies at 819.7 meV/atom. As for the total energy: -5.8832 eV/atom. As for the density of states at the Fermi level: 2.59 states/eV per cell. The value obtained for the total magnetic moment is 0.69 μB per atom. Its crystal system is tetragonal.

***

10.
# PrCoTe2

Crystalline PrCoTe2 at its relaxed geometry (GGA-PBE, the Alexandria database).

extended XYZ file:
```
4
Lattice="1.8758 1.0830 9.1792 -1.8758 1.0830 9.1792 0.0000 -2.1659 9.1792" Properties=species:S:1:pos:R:3 pbc="T T T"
Pr 0.0000 0.0000 0.0000
Co 0.0000 0.0000 13.7688
Te 0.0000 0.0000 3.2087
Te 0.0000 0.0000 24.3290
```

Summary:
The calculation puts the formation energy from raw total energies at -179.8 meV/atom. As for the total energy: -4.7220 eV/atom. As for the density of states at the Fermi level: 4.35 states/eV per cell. The value obtained for the total magnetic moment is 0.00 μB per atom. Its crystal system is trigonal.

***

11.
# BiHAu3

Crystalline BiHAu3 at its relaxed geometry (GGA-PBE, the Alexandria database).

extended XYZ file:
```
5
Lattice="4.4369 0.0000 0.0000 0.0000 4.4369 0.0000 0.0000 0.0000 4.4369" Properties=species:S:1:pos:R:3 pbc="T T T"
Bi 0.0000 0.0000 0.0000
H 2.2185 2.2185 2.2185
Au 0.0000 2.2185 2.2185
Au 2.2185 0.0000 2.2185
Au 2.2185 2.2185 0.0000
```

Summary:
As for the total energy: -3.1434 eV/atom. As for the density of states at the Fermi level: 1.79 states/eV per cell. The value obtained for the total magnetic moment is 0.00 μB per atom. Its crystal system is cubic.

***

12.
# Be2Cu2N

Crystalline Be2Cu2N at its relaxed geometry (GGA-PBE, the Alexandria database).

extended XYZ file:
```
10
Lattice="5.3352 0.0000 0.0000 0.0000 5.3352 0.0000 0.0000 0.0000 3.5217" Properties=species:S:1:pos:R:3 pbc="T T T"
Be 0.7634 1.9042 0.0000
Be 1.9042 4.5718 0.0000
Be 3.4310 0.7634 0.0000
Be 4.5718 3.4310 0.0000
Cu 0.8814 3.5490 1.7609
Cu 1.7862 0.8814 1.7609
Cu 3.5490 4.4538 1.7609
Cu 4.4538 1.7862 1.7609
N 0.0000 0.0000 1.7609
N 2.6676 2.6676 1.7609
```

Summary:
The calculation puts the energy above the most stable polymorph in this dataset at 2.61 eV/f.u. The calculation puts the formation energy from raw total energies at 619.7 meV/atom. As for the total energy: -4.1743 eV/atom. As for the density of states at the Fermi level: 4.81 states/eV per cell. The value obtained for the total magnetic moment is 0.00 μB per atom. Its crystal system is tetragonal.